[1]
## Mg2CuPd6 (PBE-GGA)

Data for an optimized crystal structure of Mg2CuPd6.

POSCAR file:
```
Mg2CuPd6
1.0
4.148 0.000 0.000
0.000 8.143 0.000
0.001 0.000 8.143
Pd Mg Cu
12 4 2
direct
0.000 0.329 0.479
0.500 0.863 0.363
0.000 0.671 0.521
0.500 0.479 0.671
0.000 0.637 0.863
0.000 0.979 0.829
0.500 0.521 0.329
0.000 0.363 0.137
0.500 0.137 0.637
0.500 0.171 0.979
0.000 0.021 0.171
0.500 0.829 0.021
0.500 0.809 0.691
0.000 0.691 0.191
0.000 0.309 0.809
0.500 0.191 0.309
0.000 0.000 0.500
0.500 0.500 0.000
```

Summary:
Formation energy from the elements = -0.44 eV per atom
Offset from the most stable computed form = 0.000 eV per atom

***

[2]
## AlSiTe2 (PBE-GGA)

Data for an optimized crystal structure of AlSiTe2.

POSCAR file:
```
AlSiTe2
1.0
3.525 -0.020 0.000
-1.565 3.158 0.000
0.000 0.000 9.619
Te Al Si
2 1 1
direct
0.500 0.500 0.325
0.000 0.000 0.922
0.000 0.000 0.531
0.500 0.500 0.722
```

Summary:
E_form (uncorrected) = 0.228 eV per atom
Offset from the most stable computed form = 0.293 eV per atom

***

[3]
## SbMoH3 (PBE-GGA)

Data for an optimized crystal structure of SbMoH3.

POSCAR file:
```
SbMoH3
1.0
3.805 0.000 0.000
0.000 3.805 0.000
0.000 0.000 3.805
H Mo Sb
3 1 1
direct
0.500 0.000 0.000
0.000 0.000 0.500
0.000 0.500 0.000
0.500 0.500 0.500
0.000 0.000 0.000
```

Summary:
Offset from the most stable computed form = 0.953 eV per atom

***

[4]
## AcGa4B3O12 (PBE-GGA)

Data for an optimized crystal structure of AcGa4B3O12.

POSCAR file:
```
AcGa4B3O12
1.0
-1.456 -5.060 -3.333
6.103 1.146 -0.523
-1.424 -0.976 5.988
O Ga B Ac
12 4 3 1
direct
0.156 0.493 0.337
0.844 0.181 0.337
0.493 0.337 0.156
0.337 0.844 0.181
0.181 0.337 0.844
0.663 0.156 0.819
0.156 0.819 0.663
0.507 0.663 0.844
0.663 0.844 0.507
0.337 0.156 0.493
0.844 0.507 0.663
0.819 0.663 0.156
0.000 0.500 0.000
0.500 0.500 0.500
0.000 0.000 0.500
0.500 0.000 0.000
0.000 0.500 0.500
0.500 0.000 0.500
0.500 0.500 0.000
0.000 0.000 0.000
```

Summary:
E_form (uncorrected) = -1.612 eV per atom

***

Listing calculated total energy for the structures above in their given order: -84.9, -14.5, -18.1, -128.0 eV per cell.